(1)
VASP calculation (PBE-GGA) on a relaxed structure of BeCu3Hg.

POSCAR file:
```
BeCu3Hg
1.0
4.8125 0.0000 0.0000
0.0000 4.8125 0.0000
0.0000 0.0000 4.8125
Be Cu Hg
1 3 1
Direct
0.0000 0.0000 0.0000
0.0000 0.5000 0.5000
0.5000 0.0000 0.5000
0.5000 0.5000 0.0000
0.5000 0.5000 0.5000
```

The formation enthalpy at 0 K is 1.339 eV/atom. The space group is Pm-3m, No. 221. The value obtained for the offset from the most stable computed form is 953 meV per atom.


(2)
VASP calculation (PBE-GGA) on a relaxed structure of LiBeRu2F.

POSCAR file:
```
LiBeRu2F
1.0
4.4727 0.0000 0.0000
0.0000 4.4727 0.0000
0.0000 0.0000 3.1710
Li Be Ru F
1 1 2 1
Direct
0.0000 0.0000 0.0000
0.5000 0.5000 0.5000
0.0000 0.5000 0.0000
0.5000 0.0000 0.0000
0.0000 0.0000 0.5000
```

The calculation puts the formation energy without anion corrections at 575 meV/atom. The space group is P4/mmm, No. 123.


(3)
VASP calculation (PBE-GGA) on a relaxed structure of La8PmEr6.

POSCAR file:
```
La8PmEr6
1.0
10.9761 0.0000 0.0000
-5.4880 9.5055 0.0000
0.0000 0.0000 5.1683
La Pm Er
8 1 6
Direct
0.0374 0.2955 0.1157
0.2581 0.9626 0.1157
0.2955 0.2581 0.8843
0.3333 0.6667 0.8614
0.6667 0.3333 0.1386
0.7045 0.7419 0.1157
0.7419 0.0374 0.8843
0.9626 0.7045 0.8843
0.0000 0.0000 0.5000
0.1271 0.6295 0.3523
0.3705 0.4976 0.3523
0.4976 0.1271 0.6477
0.5024 0.8729 0.3523
0.6295 0.5024 0.6477
0.8729 0.3705 0.6477
```

The formation enthalpy at 0 K is 0.339 eV/atom. The space group is P-3, No. 147.